No. 1
DFT (PBE-GGA) results for crystalline Er3ZnIn at its relaxed geometry.

```
Er3ZnIn
1.0
-0.0155 -4.9969 0.8082
4.9045 -0.2136 -1.2265
2.4769 -0.9429 10.0693
In Er Zn
2 6 2
direct
0.1663 0.2500 0.3157 In
0.4820 0.7500 0.6843 In
0.5743 0.2500 0.4998 Er
0.2617 0.7500 0.1250 Er
0.0741 0.7500 0.5002 Er
0.8866 0.7500 0.8752 Er
0.7618 0.2500 0.1248 Er
0.3867 0.2500 0.8750 Er
0.9797 0.2500 0.6889 Zn
0.6686 0.7500 0.3111 Zn
```

DOS at the Fermi energy: 5.1 states/eV/f.u.
Calculated formation energy: -1.50 eV per formula unit
Excess energy over the best structure of this formula in the dataset: 0 meV/atom



No. 2
DFT (PBE-GGA) results for crystalline Te2Pb2BrO6 at its relaxed geometry.

```
Te2Pb2BrO6
1.0
5.4446 1.1783 -0.6779
3.6761 7.6763 -0.8003
-1.1624 -4.2440 6.3528
Te O Br Pb
2 6 1 2
direct
0.0594 0.2276 0.2322 Te
0.9406 0.7724 0.7678 Te
0.0062 0.3561 0.0821 O
0.7511 0.5110 0.4890 O
0.2746 0.8279 0.9084 O
0.7254 0.1721 0.0916 O
0.2489 0.4890 0.5110 O
0.9938 0.6439 0.9179 O
0.5000 0.0000 0.5000 Br
0.2671 0.5607 0.2555 Pb
0.7329 0.4393 0.7445 Pb
```

DOS at the Fermi energy: 4.1 states/eV/f.u.
Uncorrected formation energy: -1039 kJ/mol of formula units



No. 3
DFT (PBE-GGA) results for crystalline ZrTaCr at its relaxed geometry.

```
ZrTaCr
1.0
-5.2592 0.0693 -1.4502
-3.8706 -0.9388 3.7289
-3.5761 11.8962 3.2744
Zr Ta Cr
6 6 6
direct
0.7301 0.7301 0.8097 Zr
0.2699 0.2699 0.1903 Zr
0.0381 0.0381 0.8857 Zr
0.9619 0.9619 0.1143 Zr
0.1809 0.1809 0.4572 Zr
0.8191 0.8191 0.5428 Zr
0.7754 0.2754 0.6737 Ta
0.2246 0.7246 0.3263 Ta
0.2754 0.7754 0.6737 Ta
0.7246 0.2246 0.3263 Ta
0.2754 0.2754 0.6737 Ta
0.7246 0.7246 0.3263 Ta
0.3812 0.3812 0.8565 Cr
0.5000 0.5000 0.0000 Cr
0.5000 0.0000 0.0000 Cr
0.5000 0.5000 0.5000 Cr
0.0000 0.5000 0.0000 Cr
0.6188 0.6188 0.1435 Cr
```

DOS at the Fermi energy: 4.0 states/eV/f.u.
Calculated formation energy: 0.12 eV per formula unit
Excess energy over the best structure of this formula in the dataset: 0 meV/atom



No. 4
DFT (PBE-GGA) results for crystalline SrCd2P at its relaxed geometry.

```
SrCd2P
1.0
4.3338 0.0000 0.0000
0.0000 4.3338 0.0000
0.0000 0.0000 5.3164
Cd Sr P
2 1 1
direct
0.5000 0.0000 0.0000 Cd
0.0000 0.5000 0.0000 Cd
0.0000 0.0000 0.5000 Sr
0.5000 0.5000 0.5000 P
```

DOS at the Fermi energy: 2.1 states/eV/f.u.
Calculated formation energy: -1.23 eV per formula unit



No. 5
DFT (PBE-GGA) results for crystalline Nd3Tm4Tl2 at its relaxed geometry.

```
Nd3Tm4Tl2
1.0
-3.3413 5.4167 0.8287
-8.5569 -3.9481 0.8108
-0.2358 -0.1377 9.4547
Tm Nd Tl
8 6 4
direct
0.9130 0.8456 0.5146 Tm
0.0870 0.1544 0.4854 Tm
0.0749 0.6892 0.1387 Tm
0.4130 0.5146 0.8456 Tm
0.4251 0.8613 0.3108 Tm
0.5870 0.4854 0.1544 Tm
0.5749 0.1387 0.6892 Tm
0.9251 0.3108 0.8613 Tm
0.9168 0.0413 0.1712 Nd
0.5832 0.8288 0.9587 Nd
0.7500 0.5316 0.4684 Nd
0.4168 0.1712 0.0413 Nd
0.2500 0.4684 0.5316 Nd
0.0832 0.9587 0.8288 Nd
0.4346 0.7994 0.6278 Tl
0.9346 0.6278 0.7994 Tl
0.0654 0.3722 0.2006 Tl
0.5654 0.2006 0.3722 Tl
```

DOS at the Fermi energy: 9.7 states/eV/f.u.
Calculated formation energy: -0.49 eV per formula unit



No. 6
DFT (PBE-GGA) results for crystalline FeRe5 at its relaxed geometry.

```
FeRe5
1.0
-2.3927 -0.9347 -0.9928
1.8116 -6.7892 -1.7940
-1.1353 -1.3657 4.0218
Re Fe
5 1
direct
0.6615 0.6770 0.0000 Re
0.3375 0.3249 0.0000 Re
0.5524 0.8952 0.5000 Re
0.8907 0.2186 0.5000 Re
0.2226 0.5548 0.5000 Re
0.0019 0.9962 0.0000 Fe
```

DOS at the Fermi energy: 4.8 states/eV/f.u.
Calculated formation energy: 0.21 eV per formula unit
Excess energy over the best structure of this formula in the dataset: 4 meV/atom